No. 1
Below is a relaxed Re3Ni crystal, with properties calculated at the GGA-PBE level.

Structure (CIF):
```
data_Re3Ni
_symmetry_space_group_name_H-M 'P 63/m m c'
_symmetry_Int_Tables_number 194
_symmetry_space_group_name_Hall '-P 6c 2c'
_cell_length_a 4.9705
_cell_length_b 4.9705
_cell_length_c 16.0073
_cell_angle_alpha 90.00
_cell_angle_beta 90.00
_cell_angle_gamma 120.00
loop_
_atom_site_label
_atom_site_fract_x
_atom_site_fract_y
_atom_site_fract_z
Re1 0.0000 0.0000 0.0810
Re2 0.1608 0.3215 0.2500
Re3 0.3333 0.6667 0.1220
Re4 0.3333 0.6667 0.6555
Ni1 0.0000 0.5000 0.0000
```

Properties
ΔH_f (0 K): 299 meV/atom
Total moment: 0.12 μB/f.u.
Total energy: -249.85 eV/cell

***

No. 2
Below is a relaxed Re2Ni crystal, with properties calculated at the GGA-PBE level.

Structure (CIF):
```
data_Re2Ni
_symmetry_space_group_name_H-M 'F m -3 m'
_symmetry_Int_Tables_number 225
_symmetry_space_group_name_Hall '-F 4 2 3'
_cell_length_a 5.652
_cell_length_b 5.652
_cell_length_c 5.652
_cell_angle_alpha 90.00
_cell_angle_beta 90.00
_cell_angle_gamma 90.00
loop_
_atom_site_label
_atom_site_fract_x
_atom_site_fract_y
_atom_site_fract_z
Re1 0.250 0.250 0.250
Ni1 0.000 0.000 0.000
```

Properties
ΔH_f (0 K): 814 meV/atom
Energy above the most stable polymorph in this dataset: 809 meV/atom
Total moment: 0.00 μB/f.u.
Total energy: -111.89 eV/cell

***

No. 3
Below is a relaxed Re3Ni2 crystal, with properties calculated at the GGA-PBE level.

Structure (CIF):
```
data_Re3Ni2
_symmetry_space_group_name_H-M 'P 42/m n m'
_symmetry_Int_Tables_number 136
_symmetry_space_group_name_Hall '-P 4n 2n'
_cell_length_a 9.390
_cell_length_b 9.390
_cell_length_c 4.669
_cell_angle_alpha 90.00
_cell_angle_beta 90.00
_cell_angle_gamma 90.00
loop_
_atom_site_label
_atom_site_fract_x
_atom_site_fract_y
_atom_site_fract_z
Re1 0.000 0.000 0.000
Re2 0.034 0.366 0.500
Re3 0.068 0.260 0.000
Ni1 0.096 0.096 0.500
Ni2 0.180 0.820 0.250
```

Properties
ΔH_f (0 K): 126 meV/atom
Energy above the most stable polymorph in this dataset: 0 meV/atom
Total moment: 0.01 μB/f.u.
Total energy: -286.66 eV/cell

***

No. 4
Below is a relaxed Re3NiS6 crystal, with properties calculated at the GGA-PBE level.

Structure (CIF):
```
data_Re3NiS6
_symmetry_space_group_name_H-M 'R -3'
_symmetry_Int_Tables_number 148
_symmetry_space_group_name_Hall '-R 3'
_cell_length_a 5.4945
_cell_length_b 5.4945
_cell_length_c 18.4908
_cell_angle_alpha 90.00
_cell_angle_beta 90.00
_cell_angle_gamma 120.00
loop_
_atom_site_label
_atom_site_fract_x
_atom_site_fract_y
_atom_site_fract_z
Re1 0.0000 0.0000 0.0000
Re2 0.0000 0.0000 0.3307
Ni1 0.0000 0.0000 0.5000
S1 0.0014 0.6635 0.2471
```

Properties
Total moment: 0.00 μB/f.u.
Total energy: -206.45 eV/cell

***

No. 5
Below is a relaxed TaReNiSb crystal, with properties calculated at the GGA-PBE level.

Structure (CIF):
```
data_TaReNiSb
_symmetry_space_group_name_H-M 'F -4 3 m'
_symmetry_Int_Tables_number 216
_symmetry_space_group_name_Hall 'F -4 2 3'
_cell_length_a 6.389
_cell_length_b 6.389
_cell_length_c 6.389
_cell_angle_alpha 90.00
_cell_angle_beta 90.00
_cell_angle_gamma 90.00
loop_
_atom_site_label
_atom_site_fract_x
_atom_site_fract_y
_atom_site_fract_z
Ta1 0.000 0.000 0.000
Re1 0.250 0.250 0.750
Ni1 0.000 0.000 0.500
Sb1 0.250 0.250 0.250
```

Properties
Total moment: 0.30 μB/f.u.
Total energy: -129.53 eV/cell

***

No. 6
Below is a relaxed ScReSiNi crystal, with properties calculated at the GGA-PBE level.

Structure (CIF):
```
data_ScReSiNi
_symmetry_space_group_name_H-M 'F -4 3 m'
_symmetry_Int_Tables_number 216
_symmetry_space_group_name_Hall 'F -4 2 3'
_cell_length_a 6.192
_cell_length_b 6.192
_cell_length_c 6.192
_cell_angle_alpha 90.00
_cell_angle_beta 90.00
_cell_angle_gamma 90.00
loop_
_atom_site_label
_atom_site_fract_x
_atom_site_fract_y
_atom_site_fract_z
Sc1 0.000 0.000 0.000
Re1 0.250 0.250 0.750
Si1 0.250 0.250 0.250
Ni1 0.000 0.000 0.500
```

Properties
Total moment: 0.76 μB/f.u.
Total energy: -114.85 eV/cell

***

No. 7
Below is a relaxed ScReNiSn crystal, with properties calculated at the GGA-PBE level.

Structure (CIF):
```
data_ScReNiSn
_symmetry_space_group_name_H-M 'F -4 3 m'
_symmetry_Int_Tables_number 216
_symmetry_space_group_name_Hall 'F -4 2 3'
_cell_length_a 6.455
_cell_length_b 6.455
_cell_length_c 6.455
_cell_angle_alpha 90.00
_cell_angle_beta 90.00
_cell_angle_gamma 90.00
loop_
_atom_site_label
_atom_site_fract_x
_atom_site_fract_y
_atom_site_fract_z
Sc1 0.000 0.000 0.000
Re1 0.250 0.250 0.750
Ni1 0.000 0.000 0.500
Sn1 0.250 0.250 0.250
```

Properties
Total moment: 0.51 μB/f.u.
Total energy: -108.54 eV/cell

***

No. 8
Below is a relaxed ScTlReNi crystal, with properties calculated at the GGA-PBE level.

Structure (CIF):
```
data_ScTlReNi
_symmetry_space_group_name_H-M 'F -4 3 m'
_symmetry_Int_Tables_number 216
_symmetry_space_group_name_Hall 'F -4 2 3'
_cell_length_a 6.511
_cell_length_b 6.511
_cell_length_c 6.511
_cell_angle_alpha 90.00
_cell_angle_beta 90.00
_cell_angle_gamma 90.00
loop_
_atom_site_label
_atom_site_fract_x
_atom_site_fract_y
_atom_site_fract_z
Sc1 0.000 0.000 0.000
Tl1 0.250 0.250 0.250
Re1 0.250 0.250 0.750
Ni1 0.000 0.000 0.500
```

Properties
Total moment: 1.38 μB/f.u.
Total energy: -98.76 eV/cell

***

No. 9
Below is a relaxed Re2NiSe5 crystal, with properties calculated at the GGA-PBE level.

Structure (CIF):
```
data_Re2NiSe5
_symmetry_space_group_name_H-M 'C m c m'
_symmetry_Int_Tables_number 63
_symmetry_space_group_name_Hall '-C 2c 2'
_cell_length_a 3.360
_cell_length_b 13.380
_cell_length_c 15.380
_cell_angle_alpha 90.00
_cell_angle_beta 90.00
_cell_angle_gamma 90.00
loop_
_atom_site_label
_atom_site_fract_x
_atom_site_fract_y
_atom_site_fract_z
Re1 0.000 0.220 0.115
Ni1 0.000 0.303 0.750
Se1 0.000 0.159 0.547
Se2 0.000 0.329 0.250
Se3 0.000 0.417 0.637
```

Properties
Total moment: 0.05 μB/f.u.
Total energy: -196.62 eV/cell